# 1
First-principles (PBE-GGA) data for crystalline Nd6Sm5Mg2 at its relaxed geometry, as listed in the Alexandria database.

Summary:
For the total energy, the calculation gives -4.143 eV per atom. The calculation puts the total moment at 0.0 μB/f.u. For the calculated density, the calculation gives 6.286 g cm⁻³.

Geometry as CIF:
```
data_Nd6Sm5Mg2
_chemical_formula_sum 'Nd12 Sm10 Mg4'
_space_group_name_H-M_alt 'P b a m'
_space_group_IT_number 55
_space_group_name_Hall '-P 2 2ab'
_cell_length_a 10.651
_cell_length_b 23.091
_cell_length_c 3.579
_cell_angle_alpha 90.00
_cell_angle_beta 90.00
_cell_angle_gamma 90.00
loop_
_atom_site_label
_atom_site_type_symbol
_atom_site_fract_x
_atom_site_fract_y
_atom_site_fract_z
_atom_site_occupancy
Nd1 Nd 0.018 0.113 0.000 1
Nd2 Nd 0.147 0.382 0.000 1
Nd3 Nd 0.167 0.634 0.500 1
Sm1 Sm 0.000 0.500 0.500 1
Sm2 Sm 0.083 0.249 0.500 1
Sm3 Sm 0.167 0.995 0.500 1
Mg1 Mg 0.166 0.761 0.000 1
```

---

# 2
First-principles (PBE-GGA) data for crystalline CaHg2Pd2 at its relaxed geometry, as listed in the Alexandria database.

Summary:
For the total energy, the calculation gives -2.950 eV per atom. The calculation puts the total moment at 0.0 μB/f.u. For the calculated density, the calculation gives 9.348 g cm⁻³.

Geometry as CIF:
```
data_CaHg2Pd2
_chemical_formula_sum 'Ca4 Hg8 Pd8'
_space_group_name_H-M_alt 'C 1 2/c 1'
_space_group_IT_number 15
_space_group_name_Hall '-C 2yc'
_cell_length_a 4.914
_cell_length_b 10.270
_cell_length_c 9.514
_cell_angle_alpha 90.00
_cell_angle_beta 104.56
_cell_angle_gamma 90.00
loop_
_atom_site_label
_atom_site_type_symbol
_atom_site_fract_x
_atom_site_fract_y
_atom_site_fract_z
_atom_site_occupancy
Ca1 Ca 0.000 0.126 0.250 1
Hg1 Hg 0.116 0.373 0.993 1
Pd1 Pd 0.000 0.203 0.750 1
Pd2 Pd 0.000 0.456 0.250 1
```

---

- Look up the total moment of the first one.
  0.0 μB/f.u.

---

What did the second record say?
First-principles (PBE-GGA) data for crystalline CaHg2Pd2 at its relaxed geometry, as listed in the Alexandria database.

Summary:
For the total energy, the calculation gives -2.950 eV per atom. The calculation puts the total moment at 0.0 μB/f.u. For the calculated density, the calculation gives 9.348 g cm⁻³.

Geometry as CIF:
```
data_CaHg2Pd2
_chemical_formula_sum 'Ca4 Hg8 Pd8'
_space_group_name_H-M_alt 'C 1 2/c 1'
_space_group_IT_number 15
_space_group_name_Hall '-C 2yc'
_cell_length_a 4.914
_cell_length_b 10.270
_cell_length_c 9.514
_cell_angle_alpha 90.00
_cell_angle_beta 104.56
_cell_angle_gamma 90.00
loop_
_atom_site_label
_atom_site_type_symbol
_atom_site_fract_x
_atom_site_fract_y
_atom_site_fract_z
_atom_site_occupancy
Ca1 Ca 0.000 0.126 0.250 1
Hg1 Hg 0.116 0.373 0.993 1
Pd1 Pd 0.000 0.203 0.750 1
Pd2 Pd 0.000 0.456 0.250 1
```